[1]
An optimized crystal structure of BaWCl4, computed with PBE-GGA.

Values from the calculation:
**E_tot**: -3.36 eV/atom
**Space group**: F-43m, No. 216

Cell lengths 6.1288, 6.1288, 6.1288 Å; angles 60.00, 60.00, 60.00 degrees
Closest atoms and distances in Å follow each position.
Fractional coordinates of all 6 atoms:
Cl1 0.3751 0.3751 0.8746  6 Cl 3.06-3.07
Cl2 0.8746 0.3751 0.3751  6 Cl 3.06-3.07
Ba1 0.0000 0.0000 0.0000  12 Cl 3.59, 4 W 3.75
Cl3 0.3751 0.3751 0.3751  6 Cl 3.06-3.07
W1 0.7500 0.7500 0.7500  12 Cl 3.59, 4 Ba 3.75
Cl4 0.3751 0.8746 0.3751  6 Cl 3.06-3.07



[2]
An optimized crystal structure of CsNa2Ac, computed with PBE-GGA.

Values from the calculation:
**DFT formation energy**: 1.3 eV/f.u.
**Space group**: R-3m, No. 166

Cell lengths 3.9832, 3.9832, 15.1705 Å; angles 82.46, 82.46, 60.00 degrees
Closest atoms and distances in Å follow each position.
Fractional coordinates of all 4 atoms:
Ac1 0.0000 0.0000 0.0000  2 Na 3.68, 6 Ac 3.98
Na1 0.0818 0.0818 0.7545  1 Ac 3.68, 6 Na 3.98
Cs1 0.5000 0.5000 0.5000  6 Cs 3.98, 6 Na 4.46
Na2 0.9182 0.9182 0.2455  1 Ac 3.68, 6 Na 3.98